(1)
## BiSe2BrF (PBE-GGA)

Data for a geometry-optimized BiSe2BrF structure.

```
BiSe2BrF
1.0
-4.3967 0.3255 -0.8451
0.5524 -2.3557 -3.7811
-0.9135 -4.8466 2.8861
Se Bi Br F
2 1 1 1
direct
0.0000 0.5000 0.0000
0.5000 0.0000 0.0000
0.5000 0.5000 0.5000
0.0000 0.0000 0.5000
0.0000 0.0000 0.0000
```

As for the energy above the most stable polymorph in this dataset: 0.000 eV/atom. Its space group is No. 123. As for the total energy: -14.22 eV/f.u. As for the crystal system: tetragonal.



(2)
## NaLi2Ga2Bi2 (PBE-GGA)

Data for a geometry-optimized NaLi2Ga2Bi2 structure.

```
NaLi2Ga2Bi2
1.0
-2.4452 -3.0558 -2.8143
1.1229 -4.6878 -0.0139
-6.1593 -3.9701 5.5338
Na Li Ga Bi
1 2 2 2
direct
0.0000 0.0000 0.0000
0.1406 0.1406 0.5782
0.8594 0.8594 0.4218
0.5495 0.5495 0.3516
0.4505 0.4505 0.6484
0.7459 0.7459 0.7622
0.2541 0.2541 0.2378
```

Its space group is No. 166. The formation enthalpy at 0 K is -0.25 eV per atom. As for the total energy: -20.69 eV/f.u. As for the crystal system: trigonal.



(3)
## RbSn2I5 (PBE-GGA)

Data for a geometry-optimized RbSn2I5 structure.

```
RbSn2I5
1.0
-0.9923 -8.8789 -1.4901
8.5535 -0.4619 -2.9436
-1.2454 3.1096 9.8284
Rb Sn I
2 4 10
direct
0.7500 0.7500 0.5000
0.2500 0.2500 0.5000
0.1801 0.3199 0.0000
0.6801 0.1801 0.0000
0.3199 0.8199 0.0000
0.8199 0.6801 0.0000
0.5250 0.7107 0.7357
0.7893 0.9750 0.2643
0.0000 0.0000 0.0000
0.5000 0.5000 0.0000
0.2107 0.0250 0.7357
0.7107 0.2107 0.7357
0.0250 0.5250 0.7357
0.2893 0.7893 0.2643
0.9750 0.4750 0.2643
0.4750 0.2893 0.2643
```

As for the energy above the most stable polymorph in this dataset: 0.019 eV/atom. Its space group is No. 140. As for the total energy: -22.55 eV/f.u. As for the crystal system: tetragonal.



(4)
## Rb3LiS2O8 (PBE-GGA)

Data for a geometry-optimized Rb3LiS2O8 structure.

```
Rb3LiS2O8
1.0
5.8100 0.0000 0.0000
-2.9050 5.0316 0.0000
0.0000 0.0000 7.7010
Rb Li S O
3 1 2 8
direct
0.3333 0.6667 0.6952
0.6667 0.3333 0.3048
0.0000 0.0000 0.0000
0.0000 0.0000 0.5000
0.3333 0.6667 0.2586
0.6667 0.3333 0.7414
0.3333 0.6667 0.0663
0.6667 0.3333 0.9337
0.1928 0.8072 0.3249
0.8072 0.1928 0.6751
0.1928 0.3856 0.3249
0.8072 0.6144 0.6751
0.6144 0.8072 0.3249
0.3856 0.1928 0.6751
```

Its space group is No. 164. As for the total energy: -78.36 eV/f.u. As for the crystal system: trigonal.



(5)
## Mg2BeAlSe (PBE-GGA)

Data for a geometry-optimized Mg2BeAlSe structure.

```
Mg2BeAlSe
1.0
-3.3218 -3.5034 2.0156
0.0199 -2.5021 -4.3163
4.0417 -2.8658 1.6799
Be Mg Al Se
1 2 1 1
direct
0.5000 0.5000 0.5000
0.0000 0.0000 0.5000
0.5000 0.0000 0.0000
0.0000 0.0000 0.0000
0.0000 0.5000 0.0000
```

Its space group is No. 123. As for the total energy: -10.43 eV/f.u. As for the crystal system: tetragonal.



(6)
## SrRh2 (PBE-GGA)

Data for a geometry-optimized SrRh2 structure.

```
SrRh2
1.0
4.6003 0.0000 0.0000
2.3002 3.9840 0.0000
2.3002 1.3280 3.7562
Rh Sr
2 1
direct
0.7500 0.7500 0.7500
0.2500 0.2500 0.2500
0.0000 0.0000 0.0000
```

Its space group is No. 225. The formation enthalpy at 0 K is 0.94 eV per atom. As for the total energy: -13.57 eV/f.u. As for the crystal system: cubic.



(7)
## MnZnB3 (PBE-GGA)

Data for a geometry-optimized MnZnB3 structure.

```
MnZnB3
1.0
3.8484 0.0000 0.0000
0.0000 3.8484 0.0000
0.0000 0.0000 3.8484
Zn Mn B
1 1 3
direct
0.0000 0.0000 0.0000
0.5000 0.5000 0.5000
0.0000 0.5000 0.0000
0.0000 0.0000 0.5000
0.5000 0.0000 0.0000
```

As for the energy above the most stable polymorph in this dataset: 1.293 eV/atom. Its space group is No. 221. The formation enthalpy at 0 K is 2.20 eV per atom. As for the total energy: -19.46 eV/f.u. As for the crystal system: cubic.



(8)
## CdGaTe2I (PBE-GGA)

Data for a geometry-optimized CdGaTe2I structure.

```
CdGaTe2I
1.0
5.4807 0.0000 0.0000
0.0000 5.4807 0.0000
0.0000 0.0000 5.5508
I Te Ga Cd
1 2 1 1
direct
0.0000 0.0000 0.5000
0.0000 0.5000 0.0000
0.5000 0.0000 0.0000
0.0000 0.0000 0.0000
0.5000 0.5000 0.5000
```

As for the energy above the most stable polymorph in this dataset: 0.000 eV/atom. Its space group is No. 123. As for the total energy: -10.74 eV/f.u. As for the crystal system: tetragonal.



Repeat the third record exactly.
## RbSn2I5 (PBE-GGA)

Data for a geometry-optimized RbSn2I5 structure.

```
RbSn2I5
1.0
-0.9923 -8.8789 -1.4901
8.5535 -0.4619 -2.9436
-1.2454 3.1096 9.8284
Rb Sn I
2 4 10
direct
0.7500 0.7500 0.5000
0.2500 0.2500 0.5000
0.1801 0.3199 0.0000
0.6801 0.1801 0.0000
0.3199 0.8199 0.0000
0.8199 0.6801 0.0000
0.5250 0.7107 0.7357
0.7893 0.9750 0.2643
0.0000 0.0000 0.0000
0.5000 0.5000 0.0000
0.2107 0.0250 0.7357
0.7107 0.2107 0.7357
0.0250 0.5250 0.7357
0.2893 0.7893 0.2643
0.9750 0.4750 0.2643
0.4750 0.2893 0.2643
```

As for the energy above the most stable polymorph in this dataset: 0.019 eV/atom. Its space group is No. 140. As for the total energy: -22.55 eV/f.u. As for the crystal system: tetragonal.